DFT (PBE-GGA) results for crystalline AcTlSnBi at its relaxed geometry.

Output
energy above the most stable polymorph in this dataset: 210 meV/atom
space-group type: F-43m, No. 216
crystal system: cubic
ΔE_f: -0.270 eV per atom

Lattice parameters (Å, degrees): 5.696 5.696 5.696 60.00 60.00 60.00
Atoms (fractional coordinates):
Ac 0.000 0.000 0.000
Tl 0.750 0.750 0.750
Sn 0.250 0.250 0.250
Bi 0.500 0.500 0.500

=====

DFT (PBE-GGA) results for crystalline CuTc2Os at its relaxed geometry.

Output
energy above the most stable polymorph in this dataset: 22 meV/atom
space-group type: P4/mmm, No. 123
crystal system: tetragonal
ΔE_f: 0.179 eV per atom

Lattice parameters (Å, degrees): 2.729 2.729 7.502 90.00 90.00 90.00
Atoms (fractional coordinates):
Cu 0.000 0.000 0.000
Tc 0.500 0.500 0.245
Tc 0.500 0.500 0.755
Os 0.000 0.000 0.500

=====

DFT (PBE-GGA) results for crystalline Ga4Sn3Hg at its relaxed geometry.

Output
space-group type: Imm2, No. 44
crystal system: orthorhombic
ΔE_f: 0.085 eV per atom

Lattice parameters (Å, degrees): 6.573 6.573 6.573 132.20 106.70 92.34
Atoms (fractional coordinates):
Ga 0.178 0.000 0.178
Ga 0.569 0.312 0.742
Ga 0.569 0.827 0.258
Ga 0.822 0.000 0.822
Sn 0.400 0.697 0.704
Sn 0.889 0.389 0.500
Sn 0.993 0.697 0.296
Hg 0.295 0.295 0.000

=====

DFT (PBE-GGA) results for crystalline Li2CaRu at its relaxed geometry.

Output
energy above the most stable polymorph in this dataset: 138 meV/atom
space-group type: R3m, No. 160
crystal system: trigonal
ΔE_f: 0.398 eV per atom

Lattice parameters (Å, degrees): 9.784 9.784 9.784 18.47 18.47 18.47
Atoms (fractional coordinates):
Li 0.000 0.000 0.000
Li 0.245 0.245 0.245
Ca 0.474 0.474 0.474
Ru 0.733 0.733 0.733

=====

DFT (PBE-GGA) results for crystalline ErPuSb at its relaxed geometry.

Output
energy relative to the elements, uncorrected: -66 kJ/mol of atoms
space-group type: P4/nmm, No. 129
crystal system: tetragonal

Lattice parameters (Å, degrees): 4.300 4.300 8.694 90.00 90.00 90.00
Atoms (fractional coordinates):
Er 0.250 0.250 0.145
Er 0.750 0.750 0.855
Pu 0.250 0.750 0.500
Pu 0.750 0.250 0.500
Sb 0.250 0.250 0.790
Sb 0.750 0.750 0.210

=====

DFT (PBE-GGA) results for crystalline Sn2HgBOs at its relaxed geometry.

Output
space-group type: P4/mmm, No. 123
crystal system: tetragonal
ΔE_f: 1.234 eV per atom

Lattice parameters (Å, degrees): 5.077 5.077 5.371 90.00 90.00 90.00
Atoms (fractional coordinates):
Sn 0.000 0.500 0.000
Sn 0.500 0.000 0.000
Hg 0.000 0.000 0.500
B 0.500 0.500 0.500
Os 0.000 0.000 0.000